1.
Computed, not measured: a relaxed structure of Li2HoGeTe4 at the PBE level of DFT.

Geometry as CIF:
```
data_Li2HoGeTe4
_space_group_name_H-M_alt 'P 1 2/m 1'
_space_group_IT_number 10
_cell_length_a 7.3619
_cell_length_b 4.1581
_cell_length_c 7.5037
_cell_angle_alpha 90.00
_cell_angle_beta 108.80
_cell_angle_gamma 90.00
loop_
_space_group_symop_operation_xyz
'x,y,z'
'-x,-y,-z'
'-x,y,-z'
'x,-y,z'
loop_
_atom_site_label
_atom_site_fract_x
_atom_site_fract_y
_atom_site_fract_z
Li1 0.0000 0.0000 0.0000
Li2 0.0000 0.5000 0.5000
Ho1 0.5000 0.0000 0.5000
Ge1 0.5000 0.5000 0.0000
Te1 0.2464 0.5000 0.2409
Te2 0.2526 0.0000 0.7601
```

For the raw total energy, the calculation gives -3.991 eV/atom. The total magnetization comes out at 0.00 Bohr magnetons per cell.

=====

2.
Computed, not measured: a relaxed structure of LiHoTmGe at the PBE level of DFT.

Geometry as CIF:
```
data_LiHoTmGe
_space_group_name_H-M_alt 'F -4 3 m'
_space_group_IT_number 216
_space_group_name_Hall 'F -4 2 3'
_cell_length_a 7.0241
_cell_length_b 7.0241
_cell_length_c 7.0241
_cell_angle_alpha 90.00
_cell_angle_beta 90.00
_cell_angle_gamma 90.00
loop_
_atom_site_label
_atom_site_fract_x
_atom_site_fract_y
_atom_site_fract_z
Li1 0.0000 0.0000 0.0000
Ho1 0.2500 0.2500 0.2500
Tm1 0.2500 0.2500 0.7500
Ge1 0.0000 0.0000 0.5000
```

The value obtained for the formation energy is -391 meV per atom. For the raw total energy, the calculation gives -4.286 eV/atom. The total magnetization comes out at 0.00 Bohr magnetons per cell.

=====

3.
Computed, not measured: a relaxed structure of Li2HoZn2Ge2 at the PBE level of DFT.

Geometry as CIF:
```
data_Li2HoZn2Ge2
_space_group_name_H-M_alt 'R -3 m'
_space_group_IT_number 166
_space_group_name_Hall '-R 3 2"'
_cell_length_a 4.2182
_cell_length_b 4.2182
_cell_length_c 23.3004
_cell_angle_alpha 90.00
_cell_angle_beta 90.00
_cell_angle_gamma 120.00
loop_
_atom_site_label
_atom_site_fract_x
_atom_site_fract_y
_atom_site_fract_z
Li1 0.0000 0.0000 0.1433
Ho1 0.0000 0.0000 0.0000
Zn1 0.0000 0.0000 0.4373
Ge1 0.0000 0.0000 0.2595
```

The value obtained for the formation energy is -486 meV per atom. For the raw total energy, the calculation gives -3.370 eV/atom. The total magnetization comes out at 0.00 Bohr magnetons per cell.